## Na4TbSm3S8 (PBE-GGA)

Data for an optimized crystal structure of Na4TbSm3S8.

```
Na4TbSm3S8
1.0
8.1192 0.0000 0.0000
0.0000 8.1685 0.0260
-4.0596 -4.0556 5.7433
Na Tb Sm S
4 1 3 8
direct
0.5000 0.0000 0.0000
0.5000 0.0000 0.5000
0.0000 0.0000 0.0000
0.0000 0.0000 0.5000
0.0000 0.5000 0.0000
0.5000 0.5000 0.0000
0.5000 0.5000 0.5000
0.0000 0.5000 0.5000
0.2414 0.7297 0.9885
0.2414 0.7297 0.4828
0.2561 0.2684 0.5121
0.7471 0.7297 0.9885
0.2529 0.2703 0.0115
0.7439 0.7316 0.4879
0.7586 0.2703 0.5172
0.7586 0.2703 0.0115
```

Computed properties:
The electronic total energy comes out at -5.390 eV/atom. The crystal system is trigonal. Its space group is R-3m, No. 166. Its formation energy from raw total energies is -176 kJ/mol of atoms. The calculation puts the density of states at the Fermi level at 0.0 states/eV/f.u.